Here is a relaxed Pm2TmRh crystal from the Alexandria database. Energies are from PBE-GGA.

**Energy above the most stable polymorph in this dataset**: 97 meV per atom
**Energy relative to the elements**: -0.378 eV per atom

The structure in CIF format:
```
data_Pm2TmRh
_chemical_formula_sum 'Pm8 Tm4 Rh4'
_cell_length_a 6.6679
_cell_length_b 6.3783
_cell_length_c 11.4390
_cell_angle_alpha 90.00
_cell_angle_beta 90.00
_cell_angle_gamma 90.00
_symmetry_space_group_name_H-M 'P n n a'
_symmetry_Int_Tables_number 52
loop_
_symmetry_equiv_pos_as_xyz
'x,y,z'
'-x,-y,-z'
'-x+1/2,-y,z'
'x+1/2,y,-z'
'x,-y+1/2,-z+1/2'
'-x,y+1/2,z+1/2'
'-x+1/2,y+1/2,-z+1/2'
'x+1/2,-y+1/2,z+1/2'
loop_
_atom_site_label
_atom_site_fract_x
_atom_site_fract_y
_atom_site_fract_z
_atom_site_occupancy
Pm1 0.0908 0.2448 0.0880 1
Tm1 0.0718 0.2500 0.7500 1
Rh1 0.2500 0.0000 0.5904 1
```

Here is a relaxed SrTa2Tc crystal from the Alexandria database. Energies are from PBE-GGA.

**Energy above the most stable polymorph in this dataset**: 426 meV per atom
**Energy relative to the elements**: 0.871 eV per atom

The structure in CIF format:
```
data_SrTa2Tc
_chemical_formula_sum 'Sr4 Ta8 Tc4'
_cell_length_a 6.7671
_cell_length_b 6.7671
_cell_length_c 6.7671
_cell_angle_alpha 90.00
_cell_angle_beta 90.00
_cell_angle_gamma 90.00
_symmetry_space_group_name_H-M 'F m -3 m'
_symmetry_Int_Tables_number 225
_symmetry_space_group_name_Hall '-F 4 2 3'
loop_
_atom_site_label
_atom_site_fract_x
_atom_site_fract_y
_atom_site_fract_z
_atom_site_occupancy
Sr1 0.0000 0.0000 0.0000 1
Ta1 0.2500 0.2500 0.2500 1
Tc1 0.0000 0.0000 0.5000 1
```

Here is a relaxed YSn2Ir crystal from the Alexandria database. Energies are from PBE-GGA.

**Energy relative to the elements**: 0.096 eV per atom

The structure in CIF format:
```
data_YSn2Ir
_chemical_formula_sum 'Y3 Sn6 Ir3'
_cell_length_a 3.3517
_cell_length_b 3.3517
_cell_length_c 30.7526
_cell_angle_alpha 90.00
_cell_angle_beta 90.00
_cell_angle_gamma 120.00
_symmetry_space_group_name_H-M 'R -3 m'
_symmetry_Int_Tables_number 166
_symmetry_space_group_name_Hall '-R 3 2"'
loop_
_atom_site_label
_atom_site_fract_x
_atom_site_fract_y
_atom_site_fract_z
_atom_site_occupancy
Y1 0.0000 0.0000 0.0000 1
Sn1 0.0000 0.0000 0.1023 1
Ir1 0.0000 0.0000 0.5000 1
```

Here is a relaxed Tb10Sn3Pb3 crystal from the Alexandria database. Energies are from PBE-GGA.

**Energy relative to the elements**: -0.636 eV per atom

The structure in CIF format:
```
data_Tb10Sn3Pb3
_chemical_formula_sum 'Tb10 Sn3 Pb3'
_cell_length_a 9.0572
_cell_length_b 9.0572
_cell_length_c 6.6350
_cell_angle_alpha 90.00
_cell_angle_beta 90.00
_cell_angle_gamma 120.00
_symmetry_space_group_name_H-M 'P -6 2 m'
_symmetry_Int_Tables_number 189
_symmetry_space_group_name_Hall 'P -6 -2'
loop_
_atom_site_label
_atom_site_fract_x
_atom_site_fract_y
_atom_site_fract_z
_atom_site_occupancy
Tb1 0.0000 0.2372 0.0000 1
Tb2 0.0000 0.7625 0.5000 1
Tb3 0.3333 0.6667 0.2529 1
Sn1 0.0000 0.3946 0.5000 1
Pb1 0.0000 0.6045 0.0000 1
```

Here is a relaxed Rb4Hg3Bi crystal from the Alexandria database. Energies are from PBE-GGA.

**Energy relative to the elements**: -0.257 eV per atom

The structure in CIF format:
```
data_Rb4Hg3Bi
_chemical_formula_sum 'Rb4 Hg3 Bi1'
_cell_length_a 5.1101
_cell_length_b 5.5588
_cell_length_c 13.1862
_cell_angle_alpha 90.00
_cell_angle_beta 90.00
_cell_angle_gamma 90.00
_symmetry_space_group_name_H-M 'P m m 2'
_symmetry_Int_Tables_number 25
loop_
_symmetry_equiv_pos_as_xyz
'x,y,z'
'-x,-y,z'
'-x,y,z'
'x,-y,z'
loop_
_atom_site_label
_atom_site_fract_x
_atom_site_fract_y
_atom_site_fract_z
_atom_site_occupancy
Rb1 0.0000 0.0000 0.0000 1
Rb2 0.0000 0.5000 0.4869 1
Rb3 0.5000 0.0000 0.7025 1
Rb4 0.5000 0.5000 0.2093 1
Hg1 0.0000 0.5000 0.7824 1
Hg2 0.5000 0.0000 0.4171 1
Hg3 0.5000 0.5000 0.9095 1
Bi1 0.0000 0.0000 0.2900 1
```

Here is a relaxed LiPr2HoTe4 crystal from the Alexandria database. Energies are from PBE-GGA.

**Uncorrected energy**: -4.9328 eV per atom

The structure in CIF format:
```
data_LiPr2HoTe4
_chemical_formula_sum 'Li1 Pr2 Ho1 Te4'
_cell_length_a 7.6338
_cell_length_b 4.4039
_cell_length_c 7.7031
_cell_angle_alpha 90.00
_cell_angle_beta 109.13
_cell_angle_gamma 90.00
_symmetry_space_group_name_H-M 'P 1 2/m 1'
_symmetry_Int_Tables_number 10
loop_
_symmetry_equiv_pos_as_xyz
'x,y,z'
'-x,-y,-z'
'-x,y,-z'
'x,-y,z'
loop_
_atom_site_label
_atom_site_fract_x
_atom_site_fract_y
_atom_site_fract_z
_atom_site_occupancy
Li1 0.0000 0.0000 0.0000 1
Pr1 0.0000 0.5000 0.5000 1
Pr2 0.5000 0.0000 0.5000 1
Ho1 0.5000 0.5000 0.0000 1
Te1 0.2396 0.5000 0.2297 1
Te2 0.2510 0.0000 0.7689 1
```

Computed volume, in the same sequence as the records: 487 310 299 471 375 245 Å³/cell.
Computed spin magnetization, in the same sequence as the records: 0.0 0.0 0.0 0.0 0.0 0.0 Bohr magnetons per cell.